# 1
First-principles (PBE) data for a geometry-optimized OsRuPb2 structure, as listed in Alexandria via LeMat-Bulk.

```
OsRuPb2
1.0
-3.769 3.769 2.996
3.769 -3.769 2.996
3.769 3.769 -2.996
Os Ru Pb
2 2 4
direct
0.000 0.000 0.000
0.750 0.250 0.500
0.250 0.750 0.500
0.500 0.500 0.000
0.124 0.625 0.999
0.375 0.374 0.499
0.626 0.125 0.001
0.875 0.876 0.501
```

Computed properties:
The space-group type is I-42d. Its energy above the most stable polymorph in this dataset is 308 kJ/mol of formula units. The raw total energy comes out at -0.42064 Ry per atom. Its calculated formation energy is 121.3 kJ per mole of atoms.

***

# 2
First-principles (PBE) data for a geometry-optimized TcNi2Hg structure, as listed in Alexandria via LeMat-Bulk.

```
TcNi2Hg
1.0
4.561 0.000 0.000
0.000 4.561 0.000
0.000 0.000 2.741
Tc Ni Hg
1 2 1
direct
0.000 0.000 0.000
0.000 0.500 0.500
0.500 0.000 0.500
0.500 0.500 0.000
```

Computed properties:
The space-group type is P4/mmm. The raw total energy comes out at -0.37961 Ry per atom. Its calculated formation energy is 37.9 kJ per mole of atoms.

***

# 3
First-principles (PBE) data for a geometry-optimized Ti2Tl2O5 structure, as listed in Alexandria via LeMat-Bulk.

```
Ti2Tl2O5
1.0
5.723 -1.915 0.000
5.723 1.915 0.000
-0.769 0.000 6.908
Ti Tl O
2 2 5
direct
0.149 0.149 0.410
0.851 0.851 0.590
0.385 0.385 0.123
0.615 0.615 0.877
0.000 0.000 0.500
0.143 0.143 0.156
0.319 0.319 0.525
0.681 0.681 0.475
0.857 0.857 0.844
```

Computed properties:
The space-group type is C2/m. The raw total energy comes out at -0.53617 Ry per atom. Its formation energy (no corrections) is -2.260 eV per atom.

***

# 4
First-principles (PBE) data for a geometry-optimized NaMnTcS3 structure, as listed in Alexandria via LeMat-Bulk.

```
NaMnTcS3
1.0
7.605 0.000 0.000
0.000 3.239 0.000
-3.395 0.000 8.541
Na Mn Tc S
2 2 2 6
direct
0.005 0.250 0.225
0.995 0.750 0.775
0.444 0.250 0.092
0.556 0.750 0.908
0.498 0.250 0.634
0.502 0.750 0.366
0.244 0.750 0.117
0.282 0.750 0.489
0.324 0.250 0.823
0.676 0.750 0.177
0.718 0.250 0.511
0.756 0.250 0.883
```

Computed properties:
The space-group type is P2_1/m. The raw total energy comes out at -0.45657 Ry per atom. Its formation energy (no corrections) is -0.673 eV per atom.

***

# 5
First-principles (PBE) data for a geometry-optimized Pr4NO4 structure, as listed in Alexandria via LeMat-Bulk.

```
Pr4NO4
1.0
-2.912 2.912 5.430
2.912 -2.912 5.430
2.912 2.912 -5.430
Pr N O
4 1 4
direct
0.158 0.158 0.559
0.401 0.842 0.000
0.599 0.599 0.441
0.842 0.401 0.000
0.500 0.500 0.000
0.000 0.500 0.500
0.230 0.230 0.000
0.500 0.000 0.500
0.770 0.770 0.000
```

Computed properties:
The space-group type is I-42m. The raw total energy comes out at -0.57023 Ry per atom. Its formation energy (no corrections) is -2.506 eV per atom.

***

# 6
First-principles (PBE) data for a geometry-optimized LiCe2GeS5 structure, as listed in Alexandria via LeMat-Bulk.

```
LiCe2GeS5
1.0
2.033 -8.295 0.000
2.033 8.295 0.000
0.000 0.000 11.236
Li Ce Ge S
2 4 2 10
direct
0.215 0.785 0.500
0.785 0.215 0.000
0.122 0.878 0.165
0.133 0.867 0.788
0.867 0.133 0.288
0.878 0.122 0.665
0.433 0.567 0.947
0.567 0.433 0.447
0.044 0.956 0.548
0.295 0.705 0.149
0.313 0.687 0.834
0.361 0.639 0.483
0.499 0.501 0.763
0.501 0.499 0.263
0.639 0.361 0.983
0.687 0.313 0.334
0.705 0.295 0.649
0.956 0.044 0.048
```

Computed properties:
The space-group type is Cmc2_1. The raw total energy comes out at -0.42045 Ry per atom. Its formation energy (no corrections) is -1.383 eV per atom.

***

Number 1 is which compound? OsRuPb2

***

Look up the raw total energy of the fourth one. -0.45657 Ry per atom

***

What did the fifth record say?
First-principles (PBE) data for a geometry-optimized Pr4NO4 structure, as listed in Alexandria via LeMat-Bulk.

```
Pr4NO4
1.0
-2.912 2.912 5.430
2.912 -2.912 5.430
2.912 2.912 -5.430
Pr N O
4 1 4
direct
0.158 0.158 0.559
0.401 0.842 0.000
0.599 0.599 0.441
0.842 0.401 0.000
0.500 0.500 0.000
0.000 0.500 0.500
0.230 0.230 0.000
0.500 0.000 0.500
0.770 0.770 0.000
```

Computed properties:
The space-group type is I-42m. The raw total energy comes out at -0.57023 Ry per atom. Its formation energy (no corrections) is -2.506 eV per atom.